Record 1
DFT (PBE-GGA) results for a relaxed CoHgBr crystal.

density = 8.16 g/cm3
energy relative to the lowest polymorph listed for this composition = 0.000 eV/atom
DOS at the Fermi energy = 1.71 states/eV/f.u.

The structure in POSCAR format:
```
CoHgBr
1.0
3.581 0.000 0.000
-1.791 3.102 0.000
0.000 0.000 6.220
Co Hg Br
1 1 1
direct
0.000 0.000 0.000 Co
0.667 0.333 0.287 Hg
0.333 0.667 0.786 Br
```

Record 2
DFT (PBE-GGA) results for a relaxed CoHgBr2 crystal.

density = 7.32 g/cm3
energy relative to the lowest polymorph listed for this composition = 0.440 eV/atom
DOS at the Fermi energy = 4.06 states/eV/f.u.

The structure in POSCAR format:
```
CoHgBr2
1.0
3.199 0.000 0.000
0.000 3.270 0.000
0.000 0.000 9.093
Co Hg Br
1 1 2
direct
0.000 0.000 0.000 Co
0.500 0.500 0.219 Hg
0.000 0.000 0.473 Br
0.500 0.500 0.854 Br
```

Record 3
DFT (PBE-GGA) results for a relaxed CoHgBr2 crystal.

density = 7.45 g/cm3
energy relative to the lowest polymorph listed for this composition = 0.655 eV/atom
DOS at the Fermi energy = 4.79 states/eV/f.u.

The structure in POSCAR format:
```
CoHgBr2
1.0
0.000 3.602 3.602
3.602 0.000 3.602
3.602 3.602 0.000
Co Hg Br
1 1 2
direct
0.000 0.000 0.000 Co
0.500 0.500 0.500 Hg
0.250 0.250 0.250 Br
0.750 0.750 0.750 Br
```

Record 4
DFT (PBE-GGA) results for a relaxed CoHgBr2 crystal.

density = 6.26 g/cm3
energy relative to the lowest polymorph listed for this composition = 0.590 eV/atom
DOS at the Fermi energy = 6.27 states/eV/f.u.

The structure in POSCAR format:
```
CoHgBr2
1.0
3.948 0.000 0.000
0.000 3.952 0.000
0.000 0.000 7.124
Co Hg Br
1 1 2
direct
0.000 0.000 0.000 Co
0.500 0.000 0.500 Hg
0.000 0.500 0.500 Br
0.500 0.500 0.000 Br
```

Record 5
DFT (PBE-GGA) results for a relaxed CoHgBr2 crystal.

density = 5.64 g/cm3
energy relative to the lowest polymorph listed for this composition = 0.268 eV/atom
DOS at the Fermi energy = 3.74 states/eV/f.u.

The structure in POSCAR format:
```
CoHgBr2
1.0
-1.754 3.902 4.512
1.754 -3.902 4.512
1.754 3.902 -4.512
Co Hg Br
1 1 2
direct
0.000 0.000 0.000 Co
0.216 0.716 0.500 Hg
0.453 0.453 0.000 Br
0.829 0.329 0.500 Br
```

Record 6
DFT (PBE-GGA) results for a relaxed CoHgBr4 crystal.

density = 4.52 g/cm3
energy relative to the lowest polymorph listed for this composition = 0.000 eV/atom

The structure in POSCAR format:
```
CoHgBr4
1.0
6.237 0.000 0.000
0.000 6.237 0.000
0.000 0.000 10.936
Co Hg Br
2 2 8
direct
0.000 0.500 0.250 Co
0.500 0.000 0.750 Co
0.000 0.000 0.000 Hg
0.000 0.000 0.500 Hg
0.236 0.281 0.369 Br
0.236 0.719 0.131 Br
0.281 0.236 0.869 Br
0.281 0.764 0.631 Br
0.719 0.236 0.631 Br
0.719 0.764 0.869 Br
0.764 0.281 0.131 Br
0.764 0.719 0.369 Br
```

Record 7
DFT (PBE-GGA) results for a relaxed K2CoHgBr6 crystal.

density = 4.53 g/cm3
DOS at the Fermi energy = 2.71 states/eV/f.u.

The structure in POSCAR format:
```
K2CoHgBr6
1.0
3.818 2.204 5.935
-3.818 2.204 5.935
0.000 -4.408 5.935
K Co Hg Br
2 1 1 6
direct
0.247 0.247 0.247 K
0.753 0.753 0.753 K
0.000 0.000 0.000 Co
0.500 0.500 0.500 Hg
0.164 0.782 0.293 Br
0.218 0.707 0.836 Br
0.293 0.164 0.782 Br
0.707 0.836 0.218 Br
0.782 0.293 0.164 Br
0.836 0.218 0.707 Br
```

Record 8
DFT (PBE-GGA) results for a relaxed La4CoHgBr2 crystal.

density = 6.34 g/cm3
DOS at the Fermi energy = 5.18 states/eV/f.u.

The structure in POSCAR format:
```
La4CoHgBr2
1.0
7.834 0.000 0.000
0.000 4.162 0.000
-2.595 0.000 7.836
La Co Hg Br
4 1 1 2
direct
0.200 0.000 0.300 La
0.228 0.500 0.705 La
0.772 0.500 0.295 La
0.800 0.000 0.700 La
0.000 0.000 0.500 Co
0.500 0.500 0.500 Hg
0.000 0.500 0.000 Br
0.500 0.000 0.000 Br
```

Record 9
DFT (PBE-GGA) results for a relaxed Pm6Co2HgBr3 crystal.

density = 6.82 g/cm3
DOS at the Fermi energy = 6.36 states/eV/f.u.

The structure in POSCAR format:
```
Pm6Co2HgBr3
1.0
10.067 -1.998 0.000
10.067 1.998 0.000
-2.872 0.000 8.646
Pm Co Hg Br
6 2 1 3
direct
0.039 0.039 0.273 Pm
0.314 0.314 0.428 Pm
0.336 0.336 0.862 Pm
0.664 0.664 0.138 Pm
0.686 0.686 0.572 Pm
0.961 0.961 0.727 Pm
0.173 0.173 0.351 Co
0.827 0.827 0.649 Co
0.500 0.500 0.000 Hg
0.171 0.171 0.845 Br
0.500 0.500 0.500 Br
0.829 0.829 0.155 Br
```

Record 10
DFT (PBE-GGA) results for a relaxed Pr4CoHgBr2 crystal.

density = 6.49 g/cm3
DOS at the Fermi energy = 4.79 states/eV/f.u.

The structure in POSCAR format:
```
Pr4CoHgBr2
1.0
7.898 0.000 0.000
0.000 4.056 0.000
-2.972 0.000 7.846
Pr Co Hg Br
4 1 1 2
direct
0.195 0.000 0.302 Pr
0.234 0.500 0.699 Pr
0.766 0.500 0.301 Pr
0.805 0.000 0.698 Pr
0.000 0.000 0.500 Co
0.500 0.500 0.500 Hg
0.000 0.500 0.000 Br
0.500 0.000 0.000 Br
```

Record 11
DFT (PBE-GGA) results for a relaxed RbCo2HgBr8 crystal.

density = 4.31 g/cm3
DOS at the Fermi energy = 11.13 states/eV/f.u.

The structure in POSCAR format:
```
RbCo2HgBr8
1.0
3.408 1.967 9.982
-3.408 1.967 9.982
0.000 -3.935 9.982
Rb Co Hg Br
1 2 1 8
direct
0.000 0.000 0.000 Rb
0.248 0.248 0.248 Co
0.752 0.752 0.752 Co
0.500 0.500 0.500 Hg
0.101 0.442 0.786 Br
0.214 0.899 0.558 Br
0.325 0.325 0.325 Br
0.442 0.786 0.101 Br
0.558 0.214 0.899 Br
0.675 0.675 0.675 Br
0.786 0.101 0.442 Br
0.899 0.558 0.214 Br
```

Record 12
DFT (PBE-GGA) results for a relaxed Rb2CoHgBr6 crystal.

density = 4.85 g/cm3
DOS at the Fermi energy = 6.16 states/eV/f.u.

The structure in POSCAR format:
```
Rb2CoHgBr6
1.0
3.838 2.216 6.097
-3.838 2.216 6.097
0.000 -4.432 6.097
Rb Co Hg Br
2 1 1 6
direct
0.250 0.250 0.250 Rb
0.750 0.750 0.750 Rb
0.000 0.000 0.000 Co
0.500 0.500 0.500 Hg
0.188 0.270 0.776 Br
0.224 0.812 0.730 Br
0.270 0.776 0.188 Br
0.730 0.224 0.812 Br
0.776 0.188 0.270 Br
0.812 0.730 0.224 Br
```

Record 13
DFT (PBE-GGA) results for a relaxed Co2HgRuBr crystal.

density = 7.90 g/cm3
DOS at the Fermi energy = 6.12 states/eV/f.u.

The structure in POSCAR format:
```
Co2HgRuBr
1.0
4.275 0.000 0.000
0.000 4.275 0.000
0.000 0.000 5.744
Co Hg Ru Br
2 1 1 1
direct
0.000 0.500 0.000 Co
0.500 0.000 0.000 Co
0.000 0.000 0.500 Hg
0.500 0.500 0.500 Ru
0.000 0.000 0.000 Br
```

Record 14
DFT (PBE-GGA) results for a relaxed Co2HgSbBr crystal.

density = 6.25 g/cm3
DOS at the Fermi energy = 6.85 states/eV/f.u.

The structure in POSCAR format:
```
Co2HgSbBr
1.0
5.025 0.000 0.000
0.000 5.025 0.000
0.000 0.000 5.472
Co Hg Sb Br
2 1 1 1
direct
0.000 0.500 0.000 Co
0.500 0.000 0.000 Co
0.000 0.000 0.000 Hg
0.000 0.000 0.500 Sb
0.500 0.500 0.500 Br
```

Record 15
DFT (PBE-GGA) results for a relaxed ScCoHgBr2 crystal.

density = 6.57 g/cm3
DOS at the Fermi energy = 3.22 states/eV/f.u.

The structure in POSCAR format:
```
ScCoHgBr2
1.0
4.916 0.000 0.000
0.000 4.916 0.000
0.000 0.000 4.853
Sc Co Hg Br
1 1 1 2
direct
0.000 0.000 0.000 Sc
0.000 0.000 0.500 Co
0.500 0.500 0.000 Hg
0.000 0.500 0.500 Br
0.500 0.000 0.500 Br
```

Record 16
DFT (PBE-GGA) results for a relaxed CoHgSeBr2 crystal.

density = 6.94 g/cm3
energy relative to the lowest polymorph listed for this composition = 0.000 eV/atom
DOS at the Fermi energy = 3.77 states/eV/f.u.

The structure in POSCAR format:
```
CoHgSeBr2
1.0
5.129 0.000 0.000
0.000 5.129 0.000
0.000 0.000 4.534
Co Hg Se Br
1 1 1 2
direct
0.000 0.000 0.000 Co
0.500 0.500 0.500 Hg
0.000 0.000 0.500 Se
0.000 0.500 0.000 Br
0.500 0.000 0.000 Br
```

Record 17
DFT (PBE-GGA) results for a relaxed Tb6Co2HgBr3 crystal.

density = 7.62 g/cm3
DOS at the Fermi energy = 5.22 states/eV/f.u.

The structure in POSCAR format:
```
Tb6Co2HgBr3
1.0
10.065 -1.935 0.000
10.065 1.935 0.000
-2.770 0.000 8.458
Tb Co Hg Br
6 2 1 3
direct
0.044 0.044 0.277 Tb
0.314 0.314 0.425 Tb
0.336 0.336 0.856 Tb
0.664 0.664 0.144 Tb
0.686 0.686 0.575 Tb
0.956 0.956 0.723 Tb
0.176 0.176 0.357 Co
0.824 0.824 0.643 Co
0.500 0.500 0.000 Hg
0.174 0.174 0.847 Br
0.500 0.500 0.500 Br
0.826 0.826 0.153 Br
```

Record 18
DFT (PBE-GGA) results for a relaxed YCo2HgBr crystal.

density = 7.65 g/cm3
DOS at the Fermi energy = 7.36 states/eV/f.u.

The structure in POSCAR format:
```
YCo2HgBr
1.0
4.455 0.000 0.000
0.000 4.455 0.000
0.000 0.000 5.327
Y Co Hg Br
1 2 1 1
direct
0.000 0.000 0.000 Y
0.000 0.500 0.500 Co
0.500 0.000 0.500 Co
0.500 0.500 0.000 Hg
0.000 0.000 0.500 Br
```

Record 19
DFT (PBE-GGA) results for a relaxed HoCoBr crystal.

density = 6.60 g/cm3
DOS at the Fermi energy = 1.77 states/eV/f.u.

The structure in POSCAR format:
```
HoCoBr
1.0
3.375 -1.948 0.000
3.375 1.948 0.000
-2.295 0.000 11.631
Ho Co Br
2 2 2
direct
0.000 0.000 0.000 Ho
0.108 0.108 0.318 Ho
0.387 0.387 0.159 Co
0.721 0.721 0.159 Co
0.611 0.611 0.835 Br
0.831 0.831 0.483 Br
```

Record 20
DFT (PBE-GGA) results for a relaxed Ho4Co2Br5 crystal.

density = 4.89 g/cm3
DOS at the Fermi energy = 5.44 states/eV/f.u.

The structure in POSCAR format:
```
Ho4Co2Br5
1.0
-1.888 4.163 12.722
1.888 -4.163 12.722
1.888 4.163 -12.722
Ho Co Br
4 2 5
direct
0.139 0.139 0.000 Ho
0.206 0.500 0.706 Ho
0.794 0.500 0.294 Ho
0.861 0.861 0.000 Ho
0.042 0.042 0.000 Co
0.958 0.958 0.000 Co
0.061 0.330 0.731 Br
0.401 0.670 0.731 Br
0.500 0.000 0.500 Br
0.599 0.330 0.269 Br
0.939 0.670 0.269 Br
```

no.,E_tot (eV for the cell shown)
1,-8.676
2,-9.707
3,-8.844
4,-9.106
5,-10.395
6,-32.555
7,-28.035
8,-36.977
9,-56.969
10,-35.741
11,-35.504
12,-27.924
13,-17.764
14,-14.057
15,-17.334
16,-13.619
17,-56.312
18,-20.101
19,-32.832
20,-51.434